Entry 1:
Density functional theory data (GGA-PBE) for NaNdBi2 after structural relaxation.

Geometry as POSCAR:
```
NaNdBi2
1.0
5.206 0.000 0.000
0.000 5.206 0.000
0.000 0.000 4.449
Na Nd Bi
1 1 2
Cartesian
0.000 0.000 0.000
2.603 2.603 0.000
0.000 2.603 2.224
2.603 0.000 2.224
```

Output
* ΔE_f: -0.54 eV/atom
* ΔE to the lowest computed polymorph: 34.0 meV per atom

Entry 2:
Density functional theory data (GGA-PBE) for Ta2TlIr after structural relaxation.

Geometry as POSCAR:
```
Ta2TlIr
1.0
4.953 -1.513 0.000
4.953 1.513 0.000
-1.247 0.000 4.934
Ta Tl Ir
2 1 1
Cartesian
0.000 0.000 0.000
7.032 0.000 1.174
4.433 0.000 2.524
1.735 0.000 3.931
```

Output
* ΔE_f: 0.16 eV/atom
* ΔE to the lowest computed polymorph: 159.5 meV per atom

Entry 3:
Density functional theory data (GGA-PBE) for InCuCl4 after structural relaxation.

Geometry as POSCAR:
```
InCuCl4
1.0
3.787 -8.334 0.000
3.787 8.334 0.000
-3.612 0.000 5.472
In Cu Cl
2 2 8
Cartesian
1.078 7.337 4.104
2.884 -7.337 1.368
2.884 2.519 1.368
1.078 -2.519 4.104
0.793 2.896 1.419
-0.874 0.809 3.946
0.933 -0.809 1.210
-1.013 -2.896 4.155
4.975 2.896 1.317
3.029 0.809 4.262
4.835 -0.809 1.526
3.169 -2.896 4.053
```

Output
* formation energy without anion corrections: -0.8442 eV/atom